No. 1
The following is a DFT calculation (meta-GGA SCAN) of a crystal of CsPO3 relaxed with PBEsol.

Cell: 4.582 6.442 13.269 Å, 90.00 90.00 90.00°
Sites, in units of the cell vectors:
Cs (0.225, 0.250, 0.095)
Cs (0.275, 0.750, 0.595)
Cs (0.725, 0.250, 0.405)
Cs (0.775, 0.750, 0.905)
P (0.175, 0.750, 0.323)
P (0.325, 0.250, 0.823)
P (0.675, 0.750, 0.177)
P (0.825, 0.250, 0.677)
O (0.165, 0.250, 0.714)
O (0.230, 0.549, 0.376)
O (0.230, 0.951, 0.376)
O (0.270, 0.049, 0.876)
O (0.270, 0.451, 0.876)
O (0.335, 0.750, 0.214)
O (0.665, 0.250, 0.786)
O (0.730, 0.549, 0.124)
O (0.730, 0.951, 0.124)
O (0.770, 0.049, 0.624)
O (0.770, 0.451, 0.624)
O (0.835, 0.750, 0.286)

=====

No. 2
The following is a DFT calculation (meta-GGA SCAN) of a crystal of RbNa3C relaxed with PBEsol.

Cell: 5.181 5.181 5.181 Å, 90.00 90.00 90.00°
Sites, in units of the cell vectors:
Rb (0.000, 0.000, 0.000)
Na (0.000, 0.500, 0.500)
Na (0.500, 0.000, 0.500)
Na (0.500, 0.500, 0.000)
C (0.500, 0.500, 0.500)

=====

No. 3
The following is a DFT calculation (meta-GGA SCAN) of a crystal of Li2CaTa relaxed with PBEsol.

Cell: 2.833 5.221 10.533 Å, 90.00 90.00 90.00°
Sites, in units of the cell vectors:
Li (0.000, 0.000, 0.000)
Li (0.000, 0.500, 0.298)
Li (0.500, 0.000, 0.798)
Li (0.500, 0.500, 0.500)
Ca (0.000, 0.500, 0.761)
Ca (0.500, 0.000, 0.261)
Ta (0.000, 0.000, 0.550)
Ta (0.500, 0.500, 0.050)

=====

No. 4
The following is a DFT calculation (meta-GGA SCAN) of a crystal of Al3Ag4 relaxed with PBEsol.

Cell: 2.958 3.821 19.858 Å, 90.00 90.00 90.00°
Sites, in units of the cell vectors:
Al (0.000, 0.000, 0.000)
Al (0.000, 0.000, 0.145)
Al (0.000, 0.000, 0.855)
Al (0.500, 0.500, 0.355)
Al (0.500, 0.500, 0.500)
Al (0.500, 0.500, 0.645)
Ag (0.000, 0.000, 0.288)
Ag (0.000, 0.000, 0.429)
Ag (0.000, 0.000, 0.571)
Ag (0.000, 0.000, 0.712)
Ag (0.500, 0.500, 0.071)
Ag (0.500, 0.500, 0.212)
Ag (0.500, 0.500, 0.788)
Ag (0.500, 0.500, 0.929)

=====

No. 5
The following is a DFT calculation (meta-GGA SCAN) of a crystal of K3ZnAg relaxed with PBEsol.

Cell: 6.309 6.309 6.309 Å, 90.00 90.00 90.00°
Sites, in units of the cell vectors:
K (0.000, 0.000, 0.500)
K (0.000, 0.500, 0.000)
K (0.500, 0.000, 0.000)
Zn (0.500, 0.500, 0.500)
Ag (0.000, 0.000, 0.000)

=====

No. 6
The following is a DFT calculation (meta-GGA SCAN) of a crystal of InIrF2 relaxed with PBEsol.

Cell: 2.805 2.805 24.078 Å, 90.00 90.00 120.00°
Sites, in units of the cell vectors:
In (0.000, 0.000, 0.000)
In (0.333, 0.667, 0.667)
In (0.667, 0.333, 0.333)
Ir (0.000, 0.000, 0.500)
Ir (0.333, 0.667, 0.167)
Ir (0.667, 0.333, 0.833)
F (0.000, 0.000, 0.417)
F (0.000, 0.000, 0.583)
F (0.333, 0.667, 0.084)
F (0.333, 0.667, 0.249)
F (0.667, 0.333, 0.751)
F (0.667, 0.333, 0.916)

=====

No. 7
The following is a DFT calculation (meta-GGA SCAN) of a crystal of Ca2Rh relaxed with PBEsol.

Cell: 3.399 13.224 6.870 Å, 90.00 90.00 90.00°
Sites, in units of the cell vectors:
Ca (0.000, 0.019, 0.000)
Ca (0.000, 0.275, 0.850)
Ca (0.000, 0.725, 0.350)
Ca (0.000, 0.981, 0.500)
Ca (0.500, 0.225, 0.350)
Ca (0.500, 0.481, 0.500)
Ca (0.500, 0.519, 0.000)
Ca (0.500, 0.775, 0.850)
Rh (0.000, 0.381, 0.209)
Rh (0.000, 0.619, 0.709)
Rh (0.500, 0.119, 0.709)
Rh (0.500, 0.881, 0.209)

=====

No. 8
The following is a DFT calculation (meta-GGA SCAN) of a crystal of BaYAg2 relaxed with PBEsol.

Cell: 7.573 7.573 7.573 Å, 90.00 90.00 90.00°
Sites, in units of the cell vectors:
Ba (0.000, 0.000, 0.000)
Ba (0.000, 0.500, 0.500)
Ba (0.500, 0.000, 0.500)
Ba (0.500, 0.500, 0.000)
Y (0.000, 0.000, 0.500)
Y (0.000, 0.500, 0.000)
Y (0.500, 0.000, 0.000)
Y (0.500, 0.500, 0.500)
Ag (0.250, 0.250, 0.250)
Ag (0.250, 0.250, 0.750)
Ag (0.250, 0.750, 0.250)
Ag (0.250, 0.750, 0.750)
Ag (0.750, 0.250, 0.250)
Ag (0.750, 0.250, 0.750)
Ag (0.750, 0.750, 0.250)
Ag (0.750, 0.750, 0.750)

=====

No. 9
The following is a DFT calculation (meta-GGA SCAN) of a crystal of P2PbWO relaxed with PBEsol.

Cell: 4.875 4.875 3.796 Å, 90.00 90.00 90.00°
Sites, in units of the cell vectors:
P (0.000, 0.500, 0.000)
P (0.500, 0.000, 0.000)
Pb (0.000, 0.000, 0.500)
W (0.500, 0.500, 0.000)
O (0.500, 0.500, 0.500)

=====

No. 10
The following is a DFT calculation (meta-GGA SCAN) of a crystal of ScCd2 relaxed with PBEsol.

Cell: 6.033 4.642 8.799 Å, 90.00 90.00 90.00°
Sites, in units of the cell vectors:
Sc (0.167, 0.250, 0.082)
Sc (0.333, 0.750, 0.582)
Sc (0.667, 0.250, 0.418)
Sc (0.833, 0.750, 0.918)
Cd (0.056, 0.250, 0.742)
Cd (0.168, 0.250, 0.414)
Cd (0.332, 0.750, 0.914)
Cd (0.444, 0.750, 0.242)
Cd (0.556, 0.250, 0.758)
Cd (0.668, 0.250, 0.086)
Cd (0.832, 0.750, 0.586)
Cd (0.944, 0.750, 0.258)

=====

No. 11
The following is a DFT calculation (meta-GGA SCAN) of a crystal of CsIn2As2 relaxed with PBEsol.

Cell: 5.057 5.057 10.740 Å, 90.00 90.00 90.00°
Sites, in units of the cell vectors:
Cs (0.000, 0.000, 0.000)
Cs (0.500, 0.500, 0.500)
In (0.000, 0.000, 0.365)
In (0.000, 0.000, 0.635)
In (0.500, 0.500, 0.135)
In (0.500, 0.500, 0.865)
As (0.000, 0.500, 0.250)
As (0.000, 0.500, 0.750)
As (0.500, 0.000, 0.250)
As (0.500, 0.000, 0.750)

=====

No. 12
The following is a DFT calculation (meta-GGA SCAN) of a crystal of YSiH3 relaxed with PBEsol.

Cell: 3.646 3.646 3.646 Å, 90.00 90.00 90.00°
Sites, in units of the cell vectors:
Y (0.000, 0.000, 0.000)
Si (0.500, 0.500, 0.500)
H (0.000, 0.500, 0.500)
H (0.500, 0.000, 0.500)
H (0.500, 0.500, 0.000)

=====

Computed calculated density (g cm⁻³) in order:
3.59 1.99 5.01 7.58 1.92 10.47 3.94 6.76 8.63 7.27 6.19 4.11
Computed VASP energy (eV/atom) in order:
-15.88 -7.95 -19.58 -21.33 -13.67 -28.91 -18.00 -32.66 -34.84 -25.34 -29.31 -9.49
Computed spin magnetization (μB per formula unit) in order:
0.000 0.007 1.101 0.000 0.003 0.413 0.000 0.000 0.000 0.000 0.000 0.000